# NbFePd2O GGA+U relaxed
data_NbFePd2O
_cell_length_a 4.830
_cell_length_b 4.830
_cell_length_c 4.890
_cell_angle_alpha 90.00
_cell_angle_beta 90.00
_cell_angle_gamma 90.00
_symmetry_space_group_name_H-M 'P 4/m m m'
_symmetry_Int_Tables_number 123
_symmetry_space_group_name_Hall '-P 4 2'
loop_
_atom_site_label
_atom_site_fract_x
_atom_site_fract_y
_atom_site_fract_z
_atom_site_occupancy
Nb1 0.000 0.000 0.000 1
Fe1 0.000 0.000 0.500 1
Pd1 0.000 0.500 0.000 1
O1 0.500 0.500 0.500 1
# Crystal system: tetragonal
# Final energy: -4.5536 eV per atom
# Size of the total moment: 0.2136 μB/atom